Compound: SrMg2CdGa
Source: the Open Quantum Materials Database
Functional: PBE
Structure: relaxed

* DFT total energy: -20.1 eV for the cell shown

CIF file:
```
data_SrMg2CdGa
_cell_length_a 4.5533
_cell_length_b 4.5533
_cell_length_c 12.4981
_cell_angle_alpha 90.00
_cell_angle_beta 90.00
_cell_angle_gamma 90.00
_symmetry_space_group_name_H-M 'I 4 m m'
_symmetry_Int_Tables_number 107
_symmetry_space_group_name_Hall 'I 4 -2'
loop_
_atom_site_label
_atom_site_fract_x
_atom_site_fract_y
_atom_site_fract_z
_atom_site_occupancy
Sr1 0.0000 0.0000 0.0000 1
Mg1 0.0000 0.5000 0.2620 1
Cd1 0.0000 0.0000 0.6117 1
Ga1 0.0000 0.0000 0.3933 1
```